{
  "formula": "NdIrC",
  "functional": "GGA-PBE",
  "state": "relaxed",
  "lattice_angstrom": [[-2.958, 3.983, 2.415], [2.958, -3.983, 2.415], [2.958, 3.983, -2.415]],
  "species": ["Nd", "Nd", "Ir", "Ir", "C", "C"],
  "frac_coords": [[0.000, 0.000, 0.000], [0.500, 0.000, 0.500], [0.256, 0.506, 0.750], [0.744, 0.494, 0.250], [0.500, 0.000, 0.000], [0.500, 0.500, 0.500]],
  "m_tot_mub_per_fu": 0.00,
  "relative_energy_ev_per_atom": 0.290,
  "total_energy_ev_per_atom": -7.744,
  "space_group": "No. 74",
  "formation_energy_mev_per_atom": -126
}